# 1
DFT (PBE) results for a geometry-optimized UTlHgTe3 structure.

Values from the calculation:
Total moment in μB per formula unit: 2.7
Final energy in eV/atom: -4.257
Formation energy from raw total energies in eV per formula unit: -2.2

a b c (Å): 4.4872 9.3820 10.5581
angles (deg): 109.23 90.00 90.00
Last column: nearest neighbours and their distance in Å.
Element x y z (fractional)
Te (0.2500, 0.5410, 0.8431)  3 U 3.11
Te (0.7500, 0.2426, 0.5272)  3 Hg 2.94-3.03, 1 U 3.22
Te (0.7500, 0.8983, 0.1051)  1 Hg 2.94, 2 U 3.14
Te (0.2500, 0.7574, 0.4728)  3 Hg 2.94-3.03, 1 U 3.22
Te (0.7500, 0.4590, 0.1569)  3 U 3.11
Te (0.2500, 0.1017, 0.8949)  1 Hg 2.94, 2 U 3.14
Tl (0.2500, 0.2157, 0.2350)  7 Te 3.39-3.76
Tl (0.7500, 0.7843, 0.7650)  7 Te 3.39-3.76
U (0.7500, 0.3125, 0.8466)  6 Te 3.11-3.22, 2 Hg 3.44
U (0.2500, 0.6875, 0.1534)  6 Te 3.11-3.22, 2 Hg 3.44
Hg (0.7500, 0.9039, 0.3850)  4 Te 2.94-3.03
Hg (0.2500, 0.0961, 0.6150)  4 Te 2.94-3.03



# 2
DFT (PBE) results for a geometry-optimized NpCr4Tc structure.

Values from the calculation:
Total moment in μB per formula unit: 3.1
ΔE_f in meV per atom: 383
Final energy in eV/atom: -9.917

a b c (Å): 4.9331 4.9331 4.9331
angles (deg): 60.00 60.00 60.00
Last column: nearest neighbours and their distance in Å.
Element x y z (fractional)
Tc (0.0000, 0.0000, 0.0000)  12 Cr 2.89, 4 Np 3.02
Cr (0.6254, 0.6254, 0.6254)  6 Cr 2.46-2.47
Cr (0.1238, 0.6254, 0.6254)  6 Cr 2.46-2.47
Cr (0.6254, 0.6254, 0.1238)  6 Cr 2.46-2.47
Cr (0.6254, 0.1238, 0.6254)  6 Cr 2.46-2.47
Np (0.2500, 0.2500, 0.2500)  12 Cr 2.89, 4 Tc 3.02



# 3
DFT (PBE) results for a geometry-optimized ThGaAg2 structure.

Values from the calculation:
Total moment in μB per formula unit: 0.0
ΔE_f in meV per atom: -223
Final energy in eV/atom: -4.260

a b c (Å): 4.6511 5.9455 6.3225
angles (deg): 90.00 90.00 90.00
Last column: nearest neighbours and their distance in Å.
Element x y z (fractional)
Ga (0.7500, 0.2500, 0.2501)  6 Ag 2.84-2.86
Ga (0.2500, 0.7500, 0.7499)  6 Ag 2.84-2.86
Ag (0.7500, 0.8602, 0.9913)  3 Ga 2.84-2.86, 3 Ag 2.86-3.05
Ag (0.2500, 0.1398, 0.4913)  3 Ga 2.84-2.86, 3 Ag 2.86-3.05
Ag (0.2500, 0.1398, 0.0087)  3 Ga 2.84-2.86, 3 Ag 2.86-3.05
Ag (0.7500, 0.8602, 0.5087)  3 Ga 2.84-2.86, 3 Ag 2.86-3.05
Th (0.7500, 0.3826, 0.7500)  8 Ag 3.19-3.46, 4 Ga 3.19-3.26
Th (0.2500, 0.6174, 0.2500)  8 Ag 3.19-3.46, 4 Ga 3.19-3.26



# 4
DFT (PBE) results for a geometry-optimized TeRuSN2 structure.

Values from the calculation:
Total moment in μB per formula unit: 0.1
Final energy in eV/atom: -5.877
Formation energy from raw total energies in eV per formula unit: 3.8

a b c (Å): 3.7924 3.7924 5.8795
angles (deg): 90.00 90.00 90.00
Last column: nearest neighbours and their distance in Å.
Element x y z (fractional)
N (0.0000, 0.5000, 0.0000)  2 Ru 1.90
N (0.5000, 0.0000, 0.0000)  2 Ru 1.90
Te (0.0000, 0.0000, 0.5000)  4 S 2.68, 2 Ru 2.94
Ru (0.0000, 0.0000, 0.0000)  4 N 1.90
S (0.5000, 0.5000, 0.5000)  4 Te 2.68



# 5
DFT (PBE) results for a geometry-optimized Sm12Er5Th2 structure.

Values from the calculation:
Total moment in μB per formula unit: 0.0
ΔE_f in meV per atom: 149
Final energy in eV/atom: -4.813

a b c (Å): 9.3705 9.1426 8.6930
angles (deg): 91.72 90.00 120.83
Last column: nearest neighbours and their distance in Å.
Element x y z (fractional)
Sm (0.6712, 0.7008, 0.7617)  4 Sm 3.36-3.69, 1 Th 3.40, 4 Er 3.53-3.75
Sm (0.5662, 0.7401, 0.3215)  4 Er 3.42-3.80, 5 Sm 3.46-3.68, 1 Th 3.53
Sm (0.4393, 0.8787, 0.6613)  2 Er 3.33-3.54, 7 Sm 3.44-3.61, 2 Th 3.44
Sm (0.0296, 0.7008, 0.7617)  4 Sm 3.36-3.69, 1 Th 3.40, 4 Er 3.53-3.75
Sm (0.1739, 0.7401, 0.3215)  4 Er 3.42-3.80, 5 Sm 3.46-3.68, 1 Th 3.53
Sm (0.0764, 0.1528, 0.8795)  3 Sm 3.24-3.46, 2 Er 3.47-3.50, 2 Th 3.51
Sm (0.9236, 0.8472, 0.1205)  3 Sm 3.24-3.46, 2 Er 3.47-3.50, 2 Th 3.51
Sm (0.4338, 0.2599, 0.6785)  4 Er 3.42-3.80, 5 Sm 3.46-3.68, 1 Th 3.53
Sm (0.5607, 0.1213, 0.3387)  2 Er 3.33-3.54, 7 Sm 3.44-3.61, 2 Th 3.44
Sm (0.9704, 0.2992, 0.2383)  4 Sm 3.36-3.69, 1 Th 3.40, 4 Er 3.53-3.75
Sm (0.3288, 0.2992, 0.2383)  4 Sm 3.36-3.69, 1 Th 3.40, 4 Er 3.53-3.75
Sm (0.8261, 0.2599, 0.6785)  4 Er 3.42-3.80, 5 Sm 3.46-3.68, 1 Th 3.53
Er (0.0000, 0.0000, 0.5000)  10 Sm 3.47-3.80, 2 Er 3.67
Er (0.7681, 0.5361, 0.4318)  8 Sm 3.33-3.71, 2 Er 3.57-3.67
Er (0.2319, 0.4639, 0.5682)  8 Sm 3.33-3.71, 2 Er 3.57-3.67
Er (0.7040, 0.4081, 0.0333)  8 Sm 3.50-3.75, 2 Th 3.57, 1 Er 3.57
Er (0.2960, 0.5919, 0.9667)  8 Sm 3.50-3.75, 2 Th 3.57, 1 Er 3.57
Th (0.6675, 0.0000, 0.0000)  1 Th 3.14, 6 Sm 3.40-3.51
Th (0.3325, 0.0000, 0.0000)  1 Th 3.14, 6 Sm 3.40-3.51



# 6
DFT (PBE) results for a geometry-optimized Th12Co2Bi5 structure.

Values from the calculation:
Total moment in μB per formula unit: 0.0
ΔE_f in meV per atom: -117
Final energy in eV/atom: -6.572

a b c (Å): 7.4172 10.0232 9.7245
angles (deg): 104.08 90.00 111.72
Last column: nearest neighbours and their distance in Å.
Element x y z (fractional)
Th (0.3937, 0.2809, 0.5607)  4 Bi 3.15-3.29
Th (0.0012, 0.0024, 0.1804)  2 Co 2.97, 1 Bi 3.11
Th (0.4962, 0.9925, 0.7345)  2 Co 2.88
Th (0.6063, 0.7191, 0.4393)  4 Bi 3.15-3.29
Th (0.9988, 0.9976, 0.8196)  2 Co 2.97, 1 Bi 3.11
Th (0.8795, 0.2727, 0.0635)  1 Co 2.50
Th (0.1128, 0.7191, 0.4393)  4 Bi 3.15-3.29
Th (0.8872, 0.2809, 0.5607)  4 Bi 3.15-3.29
Th (0.1205, 0.7273, 0.9365)  1 Co 2.50
Th (0.6068, 0.7273, 0.9365)  1 Co 2.50
Th (0.5038, 0.0075, 0.2655)  2 Co 2.88
Th (0.3932, 0.2727, 0.0635)  1 Co 2.50
Bi (0.7071, 0.4142, 0.8422)  6 Th 3.26-3.40
Bi (0.7096, 0.4192, 0.3508)  6 Th 3.25-3.31
Bi (0.0000, 0.0000, 0.5000)  6 Th 3.11-3.15
Bi (0.2929, 0.5858, 0.1578)  6 Th 3.26-3.40
Bi (0.2904, 0.5808, 0.6492)  6 Th 3.25-3.31
Co (0.6761, 0.0000, 0.0000)  2 Th 2.50, 1 Co 2.61
Co (0.3239, 0.0000, 0.0000)  2 Th 2.50, 1 Co 2.61